Computed, not measured: an optimized crystal structure of ScReNO2 at the PBE level of DFT.

Structure (POSCAR):
```
ScReNO2
1.0
3.934 0.000 0.000
0.000 3.934 0.000
0.000 0.000 4.233
O N Re Sc
2 1 1 1
direct
0.000 0.500 0.000
0.500 0.000 0.000
0.000 0.000 0.500
0.500 0.500 0.500
0.000 0.000 0.000
```

Computed properties:
Magnetic moment   3.01 μB per formula unit
D(E_F)   3.24 states/eV per cell
E_tot   -36.90 eV per cell
Volume   13.1 Å³ per atom
Crystal system   tetragonal
SG   P4/mmm, No. 123
ΔE_f (raw)   0.02 eV per atom

---

Computed, not measured: an optimized crystal structure of Pr5Ho2In2 at the PBE level of DFT.

Structure (POSCAR):
```
Pr5Ho2In2
1.0
-1.571 -10.440 -2.130
0.347 -1.382 6.520
-7.431 6.988 -1.539
Ho In Pr
4 4 10
direct
0.500 0.503 0.000
0.000 0.003 0.000
0.767 0.939 0.500
0.233 0.439 0.500
0.116 0.534 0.174
0.559 0.034 0.174
0.884 0.360 0.826
0.441 0.860 0.826
0.818 0.751 0.116
0.182 0.635 0.884
0.459 0.486 0.301
0.798 0.251 0.116
0.868 0.442 0.500
0.132 0.942 0.500
0.342 0.986 0.301
0.202 0.135 0.884
0.658 0.686 0.699
0.541 0.186 0.699
```

Computed properties:
Magnetic moment   0.00 μB per formula unit
D(E_F)   22.29 states/eV per cell
E_tot   -78.20 eV per cell
E_form   -1.5 kcal/mol of atoms
Volume   32.5 Å³ per atom
Crystal system   orthorhombic
SG   Ima2, No. 46

---

Question: What is the magnetic moment in the second record?
Answer: 0.00 μB per formula unit

---

Copy entry 1 word for word.
Computed, not measured: an optimized crystal structure of ScReNO2 at the PBE level of DFT.

Structure (POSCAR):
```
ScReNO2
1.0
3.934 0.000 0.000
0.000 3.934 0.000
0.000 0.000 4.233
O N Re Sc
2 1 1 1
direct
0.000 0.500 0.000
0.500 0.000 0.000
0.000 0.000 0.500
0.500 0.500 0.500
0.000 0.000 0.000
```

Computed properties:
Magnetic moment   3.01 μB per formula unit
D(E_F)   3.24 states/eV per cell
E_tot   -36.90 eV per cell
Volume   13.1 Å³ per atom
Crystal system   tetragonal
SG   P4/mmm, No. 123
ΔE_f (raw)   0.02 eV per atom

---

Question: Look up the E_tot of the second one.
Answer: -78.20 eV per cell

---

Question: The highest D(E_F) belongs to which entry?
Answer: Pr5Ho2In2